No. 1
Compound: DyIrOs
Source: the Open Quantum Materials Database
Functional: PBE-GGA
Structure: optimized geometry

extended XYZ file:
```
12
Lattice="8.8932 0.0000 0.0000 0.0000 2.6666 4.5651 0.0000 -2.6666 4.5651" Properties=species:S:1:pos:R:3 pbc="T T T"
Dy 1.6114 0.0000 0.0000
Dy 2.8139 0.0000 3.0401
Dy 6.0793 0.0000 3.0401
Dy 7.2818 0.0000 0.0000
Ir 0.0000 -1.3110 2.3309
Ir 0.0000 1.3110 2.3309
Ir 2.2147 0.0000 6.0616
Ir 6.6785 0.0000 6.0616
Os 0.0000 0.0000 4.5424
Os 4.4466 -1.3614 5.3147
Os 4.4466 1.3614 5.3147
Os 4.4466 0.0000 7.6824
```

Properties
Excess energy over the best structure of this formula in the dataset ... 0.000 eV/atom
ΔH_f (0 K) ... -0.567 eV per atom

No. 2
Compound: DyPIr2
Source: the Open Quantum Materials Database
Functional: PBE-GGA
Structure: optimized geometry

extended XYZ file:
```
8
Lattice="4.1461 0.0000 0.0000 -2.0731 3.5906 0.0000 0.0000 0.0000 9.5093" Properties=species:S:1:pos:R:3 pbc="T T T"
Dy 0.0000 2.3938 2.3773
Dy 2.0731 1.1969 7.1320
P 0.0000 0.0000 0.0000
P 0.0000 0.0000 4.7547
Ir 0.0000 2.3938 5.4119
Ir 0.0000 2.3938 8.8521
Ir 2.0731 1.1969 0.6572
Ir 2.0731 1.1969 4.0974
```

Properties
Energy ... -30.3 eV per formula unit